1.
A plane-wave DFT calculation with PBE was carried out for an optimized crystal structure of ZnInW.

**Distance to the lowest polymorph of the same formula**: 0 meV/atom
**Total energy**: -4.55 eV/atom
**Total magnetization**: 1.6 μB per formula unit

Cell lengths 4.506, 4.506, 4.506 Å; angles 60.00, 60.00, 60.00 degrees
Sites, in units of the cell vectors:
Zn (0.750, 0.750, 0.750)
W (0.000, 0.000, 0.000)
In (0.250, 0.250, 0.250)

***

2.
A plane-wave DFT calculation with PBE was carried out for an optimized crystal structure of ErHgIr.

**Formation energy from the elements**: -0.389 eV per atom
**Total energy**: -4.96 eV/atom
**Total magnetization**: 0.0 μB per formula unit

Cell lengths 4.651, 4.651, 4.651 Å; angles 60.00, 60.00, 60.00 degrees
Sites, in units of the cell vectors:
Hg (0.250, 0.250, 0.250)
Er (0.750, 0.750, 0.750)
Ir (0.000, 0.000, 0.000)

***

3.
A plane-wave DFT calculation with PBE was carried out for an optimized crystal structure of YNbCuGe.

**Distance to the lowest polymorph of the same formula**: 150 meV/atom
**Total energy**: -5.76 eV/atom
**Total magnetization**: 2.8 μB per formula unit

Cell lengths 4.797, 4.797, 4.797 Å; angles 60.00, 60.00, 60.00 degrees
Sites, in units of the cell vectors:
Y (0.250, 0.250, 0.250)
Ge (0.000, 0.000, 0.000)
Nb (0.500, 0.500, 0.500)
Cu (0.750, 0.750, 0.750)

***

4.
A plane-wave DFT calculation with PBE was carried out for an optimized crystal structure of SmSiAg.

**Total energy**: -4.90 eV/atom
**Total magnetization**: 0.0 μB per formula unit

Cell lengths 7.130, 7.130, 4.262 Å; angles 90.00, 90.00, 120.00 degrees
Sites, in units of the cell vectors:
Sm (0.418, 0.418, 0.500)
Ag (0.000, 0.248, 0.000)
Sm (0.000, 0.582, 0.500)
Ag (0.752, 0.752, 0.000)
Ag (0.248, 0.000, 0.000)
Si (0.000, 0.000, 0.500)
Si (0.333, 0.667, 0.000)
Si (0.667, 0.333, 0.000)
Sm (0.582, 0.000, 0.500)

***

5.
A plane-wave DFT calculation with PBE was carried out for an optimized crystal structure of LuBeCoAs.

**Distance to the lowest polymorph of the same formula**: 36 meV/atom
**Total energy**: -5.05 eV/atom
**Total magnetization**: 0.3 μB per formula unit

Cell lengths 4.344, 4.344, 4.344 Å; angles 60.00, 60.00, 60.00 degrees
Last column: magnetic moment on the atom in μB.
Sites, in units of the cell vectors:
Be (0.250, 0.250, 0.250)  0.03
Lu (0.500, 0.500, 0.500)  -0.02
As (0.000, 0.000, 0.000)  0.00
Co (0.750, 0.750, 0.750)  0.27

***

6.
A plane-wave DFT calculation with PBE was carried out for an optimized crystal structure of LuAgTePbS2.

**Total energy**: -4.61 eV/atom
**Total magnetization**: 0.0 μB per formula unit

Cell lengths 7.312, 7.312, 11.093 Å; angles 90.00, 90.00, 148.01 degrees
Sites, in units of the cell vectors:
S (0.123, 0.877, 0.441)
Te (0.388, 0.612, 0.250)
Pb (0.711, 0.289, 0.250)
S (0.877, 0.123, 0.559)
Ag (0.026, 0.974, 0.250)
S (0.123, 0.877, 0.059)
Ag (0.974, 0.026, 0.750)
Te (0.612, 0.388, 0.750)
Pb (0.289, 0.711, 0.750)
Lu (0.500, 0.500, 0.000)
S (0.877, 0.123, 0.941)
Lu (0.500, 0.500, 0.500)